# 1
Compound: PaAl3Au
Source: the Alexandria database
Functional: GGA-PBE
Structure: relaxed

abc: 4.5073 7.0899 6.6702
angles: 106.14 90.00 108.53
Positions (direct):
Al: 0.3513 0.7027 0.3280
Al: 0.0786 0.1573 0.4153
Al: 0.9214 0.8427 0.5847
Al: 0.6487 0.2973 0.6720
Al: 0.2695 0.5391 0.6787
Al: 0.7305 0.4609 0.3213
Pa: 0.1359 0.2719 0.9782
Pa: 0.8641 0.7281 0.0218
Au: 0.5303 0.0607 0.2216
Au: 0.4697 0.9393 0.7784

**Symmetry**: C2/m, No. 12
**Volume**: 19.3 Å³ per atom
**VASP energy**: -5.081 eV per atom
**Relative energy among the computed polymorphs**: 0.0331 eV/atom
**Total moment**: 0.000 μB/atom

---

# 2
Compound: PaAlAu
Source: the Alexandria database
Functional: GGA-PBE
Structure: relaxed

abc: 3.1542 3.1542 6.4462
angles: 104.16 104.16 90.00
Each line ends with the local moment (μB).
Positions (direct):
Pa: 0.0034 0.0034 0.0067  0.50
Al: 0.6843 0.6843 0.3685  0.00
Au: 0.3124 0.3124 0.6247  0.01

**Symmetry**: I4mm, No. 107
**Volume**: 20.1 Å³ per atom
**VASP energy**: -5.806 eV per atom
**Total moment**: 0.193 μB/atom

---

# 3
Compound: Pa2AlAu
Source: the Alexandria database
Functional: GGA-PBE
Structure: relaxed

abc: 3.0382 3.0382 11.4766
angles: 82.39 82.39 60.00
Each line ends with the local moment (μB).
Positions (direct):
Al: 0.5000 0.5000 0.5000  0.00
Au: 0.0000 0.0000 0.0000  0.02
Pa: 0.9099 0.9099 0.2703  0.40
Pa: 0.0901 0.0901 0.7297  0.40

**Symmetry**: R-3m, No. 166
**Volume**: 22.7 Å³ per atom
**VASP energy**: -6.343 eV per atom
**Relative energy among the computed polymorphs**: 0.3946 eV/atom
**Total moment**: 0.243 μB/atom

---

# 4
Compound: PaAl2Au2
Source: the Alexandria database
Functional: GGA-PBE
Structure: relaxed

abc: 4.3532 4.3532 10.3719
angles: 90.00 90.00 90.00
Positions (direct):
Au: 0.0000 0.5000 0.3680
Au: 0.5000 0.0000 0.6320
Au: 0.5000 0.5000 0.0000
Au: 0.0000 0.0000 0.0000
Pa: 0.0000 0.5000 0.7525
Pa: 0.5000 0.0000 0.2475
Al: 0.0000 0.5000 0.1319
Al: 0.5000 0.0000 0.8681
Al: 0.0000 0.0000 0.5000
Al: 0.5000 0.5000 0.5000

**Symmetry**: P4/nmm, No. 129
**Volume**: 19.7 Å³ per atom
**VASP energy**: -5.187 eV per atom
**Relative energy among the computed polymorphs**: 0.0000 eV/atom
**Total moment**: 0.000 μB/atom

---

# 5
Compound: Pa2AlAu
Source: the Alexandria database
Functional: GGA-PBE
Structure: relaxed

abc: 4.6666 4.2914 4.2914
angles: 90.00 90.00 90.00
Positions (direct):
Pa: 0.0000 0.5000 0.0000
Pa: 0.0000 0.0000 0.5000
Au: 0.5000 0.5000 0.5000
Al: 0.5000 0.0000 0.0000

**Symmetry**: P4/mmm, No. 123
**Volume**: 21.5 Å³ per atom
**VASP energy**: -6.738 eV per atom
**Relative energy among the computed polymorphs**: 0.0000 eV/atom
**Total moment**: 0.000 μB/atom

---

# 6
Compound: PaAlAu
Source: the Alexandria database
Functional: GGA-PBE
Structure: relaxed

abc: 3.3902 4.6127 4.6127
angles: 120.00 90.00 90.00
Each line ends with the local moment (μB).
Positions (direct):
Al: 0.1666 0.0000 0.0000  0.00
Pa: 0.6667 0.6667 0.3333  0.23
Au: 0.1667 0.3333 0.6667  0.00

**Symmetry**: P-6m2, No. 187
**Volume**: 20.8 Å³ per atom
**VASP energy**: -5.921 eV per atom
**Total moment**: 0.084 μB/atom